Here is a geometry-optimized CrReMo3 structure from Alexandria via LeMat-Bulk. Energies are from PBE.

- E above lowest polymorph: 0.00 eV/f.u.
- DOS(E_F): 18.2 states/eV/cell
- M_tot: 0.000 μB per atom

The structure in CIF format:
```
data_CrReMo3
_cell_length_a 4.458
_cell_length_b 13.347
_cell_length_c 5.169
_cell_angle_alpha 90.00
_cell_angle_beta 90.00
_cell_angle_gamma 90.00
_space_group_name_H-M_alt 'C m c m'
_space_group_IT_number 63
_space_group_name_Hall '-C 2c 2'
loop_
_atom_site_label
_atom_site_type_symbol
_atom_site_fract_x
_atom_site_fract_y
_atom_site_fract_z
Cr1 Cr 0.000 0.028 0.250
Re1 Re 0.000 0.161 0.750
Mo1 Mo 0.000 0.219 0.250
Mo2 Mo 0.000 0.404 0.505
```

Here is a geometry-optimized KAlSnHg2 structure from Alexandria via LeMat-Bulk. Energies are from PBE.

- DOS(E_F): 3.0 states/eV/cell
- M_tot: 0.000 μB per atom

The structure in CIF format:
```
data_KAlSnHg2
_cell_length_a 5.381
_cell_length_b 5.381
_cell_length_c 5.430
_cell_angle_alpha 90.00
_cell_angle_beta 90.00
_cell_angle_gamma 90.00
_space_group_name_H-M_alt 'P 4/m m m'
_space_group_IT_number 123
_space_group_name_Hall '-P 4 2'
loop_
_atom_site_label
_atom_site_type_symbol
_atom_site_fract_x
_atom_site_fract_y
_atom_site_fract_z
K1 K 0.000 0.000 0.000
Al1 Al 0.500 0.500 0.500
Sn1 Sn 0.500 0.500 0.000
Hg1 Hg 0.000 0.500 0.500
```

Values of energy, in order: -10.595 -1.883, all in eV/atom.